No. 1
This record from Alexandria describes a geometry-optimized PaB2Ir5 structure. The functional is PBE.

The structure belongs to space group Immm (No. 71); the cell edges are 3.913, 6.432 and 9.077 Å and the angles 90.00°, 90.00° and 90.00°. The inequivalent atoms are Pa at (0.000, 0.000, 0.000), B at (0.000, 0.500, 0.239), Ir at (0.000, 0.212, 0.351) and Ir at (0.000, 0.500, 0.000).

The value obtained for the total magnetization is 0.0 μB per formula unit. As for the crystal system: orthorhombic. Its energy of formation is -0.480 eV per atom.

=====

No. 2
This record from Alexandria describes a geometry-optimized Th2Fe15Mo2 structure. The functional is PBE.

The structure belongs to space group R-3m (No. 166, hexagonal axes); the cell edges are 8.5013, 8.5013 and 12.7479 Å and the angles 90.00°, 90.00° and 120.00°. The inequivalent atoms are Th at (0.0000, 0.0000, 0.1539), Fe at (0.0000, 0.3029, 0.5000), Fe at (0.0000, 0.5000, 0.0000), Fe at (0.9997, 0.4998, 0.3409) and Mo at (0.0000, 0.0000, 0.4044).

The value obtained for the total magnetization is 30.0 μB per formula unit. As for the crystal system: trigonal. Its energy of formation is -0.020 eV per atom.

=====

No. 3
This record from Alexandria describes a geometry-optimized HgBiPt4 structure. The functional is PBE.

The structure belongs to space group F-43m (No. 216); the cell edges are 7.697, 7.697 and 7.697 Å and the angles 90.00°, 90.00° and 90.00°. The inequivalent atoms are Hg at (0.000, 0.000, 0.000), Bi at (0.250, 0.250, 0.250) and Pt at (0.125, 0.125, 0.625).

The value obtained for the total magnetization is 0.0 μB per formula unit. As for the crystal system: cubic. Its energy of formation is -0.054 eV per atom.

=====

No. 4
This record from Alexandria describes a geometry-optimized TbTc3Ge3 structure. The functional is PBE.

The structure belongs to space group P6_3/m (No. 176); the cell edges are 8.5465, 8.5465 and 4.3447 Å and the angles 90.00°, 90.00° and 120.00°. The inequivalent atoms are Tb at (0.3333, 0.6667, 0.2500), Tc at (0.1069, 0.4673, 0.7500) and Ge at (0.0194, 0.7109, 0.7500).

The value obtained for the total magnetization is 0.0 μB per formula unit. For the energy above the most stable polymorph in this dataset, the calculation gives 0.00 eV per formula unit. As for the crystal system: hexagonal. Its energy of formation is 0.119 eV per atom.

=====

No. 5
This record from Alexandria describes a geometry-optimized Sc2TiZn2 structure. The functional is PBE.

The structure belongs to space group P4/mbm (No. 127); the cell edges are 7.779, 7.779 and 3.176 Å and the angles 90.00°, 90.00° and 90.00°. The inequivalent atoms are Sc at (0.145, 0.355, 0.000), Ti at (0.000, 0.000, 0.000) and Zn at (0.154, 0.654, 0.500).

The value obtained for the total magnetization is 1.6 μB per formula unit. For the energy above the most stable polymorph in this dataset, the calculation gives 0.63 eV per formula unit. As for the crystal system: tetragonal. Its energy of formation is 0.000 eV per atom.

=====

No. 6
This record from Alexandria describes a geometry-optimized Ba2Zn4Ga structure. The functional is PBE.

The structure belongs to space group P2_1/m (No. 11); the cell edges are 6.391, 6.439 and 9.092 Å and the angles 90.00°, 106.45° and 90.00°. The inequivalent atoms are Ba at (0.122, 0.250, 0.405), Ba at (0.236, 0.750, 0.017), Zn at (0.312, 0.250, 0.085), Zn at (0.316, 0.750, 0.407), Zn at (0.428, 0.536, 0.691) and Ga at (0.164, 0.250, 0.782).

The value obtained for the total magnetization is 0.0 μB per formula unit. As for the crystal system: monoclinic. Its energy of formation is -0.217 eV per atom.

=====

Calculated volume? In order: 14.28 14.00 19.00 19.63 19.22 25.63 Å³ per atom.